No. 1
VASP calculation (PBE-GGA) on a relaxed structure of NaPaRe.

Lattice parameters (Å, degrees): 4.6211 4.6211 4.6211 60.00 60.00 60.00
Last column: nearest neighbours and their distance in Å.
Positions (direct):
Na1 0.2500 0.2500 0.2500  4 Pa 2.83
Pa1 0.0000 0.0000 0.0000  4 Na 2.83, 4 Re 2.83
Re1 0.7500 0.7500 0.7500  4 Pa 2.83

Total energy (Ha/atom): -0.2331
Crystal system: cubic

***

No. 2
VASP calculation (PBE-GGA) on a relaxed structure of AgAsIrO.

Lattice parameters (Å, degrees): 3.5002 6.8316 5.4978 90.00 90.00 90.00
Last column: nearest neighbours and their distance in Å.
Positions (direct):
Ag1 0.0000 0.5548 0.3933  2 O 2.34, 1 As 2.52
Ag2 0.0000 0.4452 0.8933  2 O 2.34, 1 As 2.52
As1 0.0000 0.1858 0.3755  4 Ir 2.51-2.61, 1 Ag 2.52
As2 0.0000 0.8142 0.8755  4 Ir 2.51-2.61, 1 Ag 2.52
Ir1 0.5000 0.9943 0.1143  2 O 2.03-2.04
Ir2 0.5000 0.0057 0.6143  2 O 2.03-2.04
O1 0.5000 0.7810 0.3710  2 Ir 2.03-2.04
O2 0.5000 0.2190 0.8710  2 Ir 2.03-2.04

Total energy (Ha/atom): -0.2021
Crystal system: orthorhombic

***

No. 3
VASP calculation (PBE-GGA) on a relaxed structure of GdTlTe.

Lattice parameters (Å, degrees): 5.2092 5.2092 5.2092 60.00 60.00 60.00
Last column: nearest neighbours and their distance in Å.
Positions (direct):
Gd1 0.2500 0.2500 0.2500  4 Te 3.19
Te1 0.0000 0.0000 0.0000  4 Gd 3.19, 4 Tl 3.19
Tl1 0.7500 0.7500 0.7500  4 Te 3.19

Total energy (Ha/atom): -0.1397
Crystal system: cubic

***

No. 4
VASP calculation (PBE-GGA) on a relaxed structure of TaCuAsPt.

Lattice parameters (Å, degrees): 4.4745 4.4745 4.4745 60.00 60.00 60.00
Last column: nearest neighbours and their distance in Å.
Positions (direct):
As1 0.0000 0.0000 0.0000  4 Cu 2.74, 4 Ta 2.74
Cu1 0.7500 0.7500 0.7500  4 Pt 2.74, 4 As 2.74
Pt1 0.5000 0.5000 0.5000  4 Ta 2.74, 4 Cu 2.74
Ta1 0.2500 0.2500 0.2500  4 Pt 2.74, 4 As 2.74

Total energy (Ha/atom): -0.2469
Crystal system: cubic

***

No. 5
VASP calculation (PBE-GGA) on a relaxed structure of KHo2.

Lattice parameters (Å, degrees): 7.0221 7.0221 7.0221 60.00 60.00 60.00
Last column: nearest neighbours and their distance in Å.
Positions (direct):
Ho1 0.6250 0.6250 0.1250  6 Ho 3.51
Ho2 0.6250 0.1250 0.6250  6 Ho 3.51
Ho3 0.1250 0.6250 0.6250  6 Ho 3.51
Ho4 0.6250 0.6250 0.6250  6 Ho 3.51
K1 0.0000 0.0000 0.0000  12 Ho 4.12, 4 K 4.30
K2 0.2500 0.2500 0.2500  12 Ho 4.12, 4 K 4.30

Total energy (Ha/atom): -0.1047
Crystal system: cubic

***

No. 6
VASP calculation (PBE-GGA) on a relaxed structure of Nd2Ho2CI2Cl3.

Lattice parameters (Å, degrees): 9.4579 9.4579 8.0053 100.14 100.14 23.41
Last column: nearest neighbours and their distance in Å.
Positions (direct):
C1 0.5000 0.5000 0.0000  2 Nd 2.52, 4 Ho 2.53
Cl1 0.1422 0.1422 0.3338  1 Ho 2.70, 2 Nd 2.82
Cl2 0.5000 0.5000 0.5000  4 Ho 3.04
Cl3 0.8578 0.8578 0.6662  1 Ho 2.70, 2 Nd 2.82
Ho1 0.9971 0.9971 0.2050  2 C 2.53, 1 Cl 2.70
Ho2 0.0029 0.0029 0.7950  2 C 2.53, 1 Cl 2.70
I1 0.8281 0.8281 0.2157  1 Ho 3.15, 3 Nd 3.16-3.50
I2 0.1719 0.1719 0.7843  1 Ho 3.15, 3 Nd 3.16-3.50
Nd1 0.6379 0.6379 0.0737  1 C 2.52
Nd2 0.3621 0.3621 0.9263  1 C 2.52

Total energy (Ha/atom): -0.1872
Crystal system: monoclinic

***

No. 7
VASP calculation (PBE-GGA) on a relaxed structure of LuZrGaCu.

Lattice parameters (Å, degrees): 4.7900 4.7900 4.7900 60.00 60.00 60.00
Last column: nearest neighbours and their distance in Å.
Positions (direct):
Cu1 0.7500 0.7500 0.7500  4 Lu 2.93, 4 Ga 2.93
Ga1 0.0000 0.0000 0.0000  4 Zr 2.93, 4 Cu 2.93
Lu1 0.5000 0.5000 0.5000  4 Zr 2.93, 4 Cu 2.93
Zr1 0.2500 0.2500 0.2500  4 Lu 2.93, 4 Ga 2.93

Total energy (Ha/atom): -0.1770
Crystal system: cubic

***

No. 8
VASP calculation (PBE-GGA) on a relaxed structure of NaDyHgO3.

Lattice parameters (Å, degrees): 6.3427 6.3427 8.7792 90.00 90.00 32.76
Last column: nearest neighbours and their distance in Å.
Positions (direct):
Dy1 0.0000 0.0000 0.0000  6 O 2.23-2.33
Dy2 0.0000 0.0000 0.5000  6 O 2.23-2.33
Hg1 0.3644 0.3644 0.2500  2 O 2.04
Hg2 0.6356 0.6356 0.7500  2 O 2.04
Na1 0.6535 0.6535 0.2500  4 O 2.32-2.39
Na2 0.3465 0.3465 0.7500  4 O 2.32-2.39
O1 0.3783 0.3783 0.0187  1 Hg 2.04
O2 0.0323 0.0323 0.2500  2 Dy 2.23, 2 Na 2.32
O3 0.3783 0.3783 0.4813  1 Hg 2.04
O4 0.6217 0.6217 0.5187  1 Hg 2.04
O5 0.9677 0.9677 0.7500  2 Dy 2.23, 2 Na 2.32
O6 0.6217 0.6217 0.9813  1 Hg 2.04

Total energy (Ha/atom): -0.1972
Crystal system: orthorhombic

***

No. 9
VASP calculation (PBE-GGA) on a relaxed structure of KNbTeO.

Lattice parameters (Å, degrees): 3.8690 3.8690 10.3388 90.00 90.00 90.00
Last column: nearest neighbours and their distance in Å.
Positions (direct):
K1 0.7500 0.2500 0.5000  4 K 2.74
K2 0.2500 0.7500 0.5000  4 K 2.74
Nb1 0.2500 0.2500 0.1059  4 O 2.22
Nb2 0.7500 0.7500 0.8941  4 O 2.22
O1 0.7500 0.2500 0.0000  4 Nb 2.22
O2 0.2500 0.7500 0.0000  4 Nb 2.22
Te1 0.7500 0.7500 0.2438  4 Nb 3.08, 4 O 3.18, 4 K 3.28
Te2 0.2500 0.2500 0.7562  4 Nb 3.08, 4 O 3.18, 4 K 3.28

Total energy (Ha/atom): -0.2008
Crystal system: tetragonal

***

No. 10
VASP calculation (PBE-GGA) on a relaxed structure of NaReIrAu.

Lattice parameters (Å, degrees): 4.4721 4.4721 4.4721 60.00 60.00 60.00
Last column: nearest neighbours and their distance in Å.
Positions (direct):
Au1 0.0000 0.0000 0.0000  4 Na 2.74, 4 Ir 2.74
Ir1 0.2500 0.2500 0.2500  4 Re 2.74, 4 Au 2.74
Na1 0.7500 0.7500 0.7500  4 Au 2.74, 4 Re 2.74
Re1 0.5000 0.5000 0.5000  4 Ir 2.74, 4 Na 2.74

Total energy (Ha/atom): -0.2148
Crystal system: cubic

***

No. 11
VASP calculation (PBE-GGA) on a relaxed structure of FeBPdAu.

Lattice parameters (Å, degrees): 4.2352 4.2352 4.2352 60.00 60.00 60.00
Last column: nearest neighbours and their distance in Å.
Positions (direct):
Au1 0.5000 0.5000 0.5000  4 Fe 2.59, 4 Pd 2.59
B1 0.0000 0.0000 0.0000  4 Fe 2.59, 4 Pd 2.59
Fe1 0.7500 0.7500 0.7500  4 B 2.59, 4 Au 2.59
Pd1 0.2500 0.2500 0.2500  4 Au 2.59, 4 B 2.59

Total energy (Ha/atom): -0.1922
Crystal system: cubic

***

No. 12
VASP calculation (PBE-GGA) on a relaxed structure of SrNdH2Cl2.

Lattice parameters (Å, degrees): 3.9176 3.9176 7.2524 90.00 90.00 90.00
Last column: nearest neighbours and their distance in Å.
Positions (direct):
Cl1 0.0000 0.0000 0.3630  4 Sr 3.01, 1 Nd 3.17, 4 H 3.33
Cl2 0.5000 0.5000 0.6542  4 Nd 2.96, 4 H 3.13, 1 Sr 3.29
H1 0.5000 0.0000 0.9914  2 Nd 2.40, 2 Sr 2.48
H2 0.0000 0.5000 0.9914  2 Nd 2.40, 2 Sr 2.48
Nd1 0.0000 0.0000 0.7995  4 H 2.40
Sr1 0.5000 0.5000 0.2005  4 H 2.48

Total energy (Ha/atom): -0.1524
Crystal system: tetragonal

***

No. 13
VASP calculation (PBE-GGA) on a relaxed structure of PmDyPO.

Lattice parameters (Å, degrees): 4.2587 7.4858 5.8769 90.00 90.00 90.00
Last column: nearest neighbours and their distance in Å.
Positions (direct):
Dy1 0.5000 0.3812 0.0043  2 O 2.22-2.25
Dy2 0.5000 0.6188 0.5043  2 O 2.22-2.25
O1 0.5000 0.3357 0.3779  2 Dy 2.22-2.25, 2 Pm 2.39
O2 0.5000 0.6643 0.8779  2 Dy 2.22-2.25, 2 Pm 2.39
P1 0.0000 0.8263 0.4337  2 Dy 2.67, 3 Pm 2.78-2.97
P2 0.0000 0.1737 0.9337  2 Dy 2.67, 3 Pm 2.78-2.97
Pm1 0.0000 0.1981 0.4381  2 O 2.39
Pm2 0.0000 0.8019 0.9381  2 O 2.39

Total energy (Ha/atom): -0.2549
Crystal system: orthorhombic